Density functional theory data (PBE) for a relaxed Mg3In crystal.

abc: 3.293 4.410 6.346
angles: 90.00 90.00 90.00
Fractional positions:
Mg1 0.000 0.000 0.500
Mg2 0.500 0.500 0.250
Mg3 0.500 0.500 0.750
In1 0.000 0.000 0.000

Calculated values
E, eV/atom: -1.9435
ΔE_f, kJ/mol of atoms: -6.1
Density, g cm⁻³: 3.38